4
Lattice="3.5809 0.0000 0.0000 0.0000 3.5809 0.0000 0.0000 0.0000 8.8819" Properties=species:S:1:pos:R:3 comment="Dy2TmHg, optimized geometry, DFT GGA-PBE" formation_enthalpy_0k_ev_per_atom=-0.22 polymorph_energy_ev_per_atom=0.007 m_tot_mub_per_cell=0.00 pbc="T T T"
Tm 1.7905 1.7905 4.4409
Dy 0.0000 0.0000 2.0070
Hg 1.7905 1.7905 0.0000
Dy 0.0000 0.0000 6.8749